The following is a DFT calculation (GGA-PBE) of KRb2TlI4 after structural relaxation.

Output
Formation energy without anion corrections   -1.284 eV per atom
Total magnetization   0.000 μB/f.u.
Mass density   3.9 g cm⁻³
E   -2.734 eV per atom
D(E_F)   0.000 states/eV/atom

Cell lengths 5.168, 8.950, 8.952 Å; angles 70.55, 90.00, 90.00 degrees
Sites, in units of the cell vectors:
K 0.000 0.500 0.500
Rb 0.000 0.000 0.000
Rb 0.500 0.000 0.500
Tl 0.500 0.500 0.000
I 0.000 0.738 0.754
I 0.000 0.262 0.246
I 0.500 0.738 0.253
I 0.500 0.262 0.747



The following is a DFT calculation (GGA-PBE) of KRb3Tl3I8 after structural relaxation.

Output
Formation energy without anion corrections   -1.004 eV per atom
Total magnetization   0.000 μB/f.u.
Mass density   4.3 g cm⁻³
E   -2.571 eV per atom
D(E_F)   1.239 states/eV/atom

Cell lengths 10.311, 10.304, 10.045 Å; angles 120.88, 90.00, 120.02 degrees
Sites, in units of the cell vectors:
K 0.000 0.000 0.500
Rb 0.500 0.000 0.500
Rb 0.500 0.500 0.500
Rb 0.000 0.500 0.500
Tl 0.000 0.000 0.000
Tl 0.000 0.500 0.000
Tl 0.500 0.500 0.000
I 0.245 0.490 0.234
I 0.755 0.510 0.766
I 0.755 0.509 0.236
I 0.245 0.491 0.764
I 0.755 0.982 0.237
I 0.245 0.018 0.763
I 0.227 0.982 0.237
I 0.773 0.018 0.763



The following is a DFT calculation (GGA-PBE) of K3RbTl2I6 after structural relaxation.

Output
Formation energy without anion corrections   -1.210 eV per atom
Total magnetization   0.000 μB/f.u.
Mass density   4.1 g cm⁻³
E   -2.735 eV per atom
D(E_F)   0.000 states/eV/atom

Cell lengths 5.079, 10.196, 11.390 Å; angles 103.19, 102.88, 90.00 degrees
Sites, in units of the cell vectors:
K 0.500 0.500 0.000
K 0.834 0.169 0.667
K 0.166 0.831 0.333
Rb 0.500 0.000 0.000
Tl 0.832 0.665 0.664
Tl 0.168 0.335 0.336
I 0.330 0.915 0.660
I 0.667 0.582 0.333
I 0.670 0.085 0.340
I 0.001 0.259 0.001
I 0.999 0.741 0.999
I 0.333 0.418 0.667



The following is a DFT calculation (GGA-PBE) of KRb2TlI6 after structural relaxation.

Output
Formation energy without anion corrections   -0.914 eV per atom
Total magnetization   0.000 μB/f.u.
Mass density   3.8 g cm⁻³
Energy relative to the lowest polymorph listed for this composition   59 meV/atom
E   -2.384 eV per atom
D(E_F)   0.000 states/eV/atom

Cell lengths 8.996, 8.996, 8.995 Å; angles 60.00, 60.00, 90.00 degrees
Sites, in units of the cell vectors:
I 0.236 0.236 0.527
I 0.764 0.764 0.473
I 0.236 0.236 0.000
I 0.764 0.764 0.000
I 0.764 0.236 0.000
I 0.236 0.764 0.000
Tl 0.000 0.000 0.000
K 0.500 0.500 0.000
Rb 0.750 0.250 0.500
Rb 0.250 0.750 0.500